No. 1
Compound: Li2Mg4Cd
Source: the Alexandria database
Functional: PBE
Structure: relaxed

Calculated values
SG: No. 14
DFT total energy, eV/atom: -1.639
Crystal system: monoclinic
Energy of formation from the pure elements, eV per atom: -0.050

Cell and atoms, written as POSCAR:
```
Li2Mg4Cd
1.0
5.408 0.000 0.000
0.000 9.779 0.000
-0.177 0.000 5.805
Li Mg Cd
4 8 2
direct
0.246 0.000 0.484
0.246 0.500 0.984
0.754 0.000 0.516
0.754 0.500 0.016
0.000 0.167 0.001
0.000 0.333 0.501
0.000 0.667 0.499
0.000 0.833 0.999
0.500 0.250 0.250
0.500 0.250 0.750
0.500 0.750 0.250
0.500 0.750 0.750
0.500 0.000 0.000
0.500 0.500 0.500
```

No. 2
Compound: Ho4ErNi2
Source: the Alexandria database
Functional: PBE
Structure: relaxed

Calculated values
SG: No. 166
DFT total energy, eV/atom: -5.056
Crystal system: trigonal
Energy of formation from the pure elements, eV per atom: -0.137

Cell and atoms, written as POSCAR:
```
Ho4ErNi2
1.0
1.947 1.124 14.328
-1.947 1.124 14.328
0.000 -2.248 14.328
Ho Er Ni
4 1 2
direct
0.102 0.102 0.102
0.300 0.300 0.300
0.700 0.700 0.700
0.898 0.898 0.898
0.500 0.500 0.500
0.401 0.401 0.401
0.599 0.599 0.599
```

No. 3
Compound: TbPrIrPt
Source: the Alexandria database
Functional: PBE
Structure: relaxed

Calculated values
SG: No. 216
DFT total energy, eV/atom: -6.942
Crystal system: cubic
Energy of formation from the pure elements, eV per atom: -0.864

Cell and atoms, written as POSCAR:
```
TbPrIrPt
1.0
7.084 0.000 0.000
0.000 7.084 0.000
0.000 0.000 7.084
Tb Pr Ir Pt
4 4 4 4
direct
0.000 0.000 0.000
0.000 0.500 0.500
0.500 0.000 0.500
0.500 0.500 0.000
0.000 0.000 0.500
0.000 0.500 0.000
0.500 0.000 0.000
0.500 0.500 0.500
0.250 0.250 0.250
0.250 0.750 0.750
0.750 0.250 0.750
0.750 0.750 0.250
0.250 0.250 0.750
0.250 0.750 0.250
0.750 0.250 0.250
0.750 0.750 0.750
```

No. 4
Compound: LiCaZn17
Source: the Alexandria database
Functional: PBE
Structure: relaxed

Calculated values
SG: No. 160
DFT total energy, eV/atom: -1.454
Crystal system: trigonal
Energy of formation from the pure elements, eV per atom: -0.108

Cell and atoms, written as POSCAR:
```
LiCaZn17
1.0
4.513 2.605 4.381
-4.513 2.605 4.381
0.000 -5.211 4.381
Li Ca Zn
1 1 17
direct
0.000 0.000 0.000
0.322 0.322 0.322
0.009 0.009 0.508
0.009 0.508 0.009
0.166 0.654 0.654
0.308 0.308 0.825
0.308 0.825 0.308
0.357 0.665 0.960
0.357 0.960 0.665
0.508 0.009 0.009
0.564 0.564 0.564
0.654 0.166 0.654
0.654 0.654 0.166
0.665 0.357 0.960
0.665 0.960 0.357
0.768 0.768 0.768
0.825 0.308 0.308
0.960 0.357 0.665
0.960 0.665 0.357
```

No. 5
Compound: CdTcBr2
Source: the Alexandria database
Functional: PBE
Structure: relaxed

Calculated values
SG: No. 123
DFT total energy, eV/atom: -3.010
Crystal system: tetragonal
Raw formation energy, eV/atom: 0.647

Cell and atoms, written as POSCAR:
```
CdTcBr2
1.0
5.228 0.000 0.000
0.000 5.228 0.000
0.000 0.000 3.537
Cd Tc Br
1 1 2
direct
0.000 0.000 0.000
0.500 0.500 0.000
0.000 0.500 0.500
0.500 0.000 0.500
```

No. 6
Compound: Sc2NbGaBr
Source: the Alexandria database
Functional: PBE
Structure: relaxed

Calculated values
SG: No. 123
DFT total energy, eV/atom: -4.947
Crystal system: tetragonal
Raw formation energy, eV/atom: 0.540

Cell and atoms, written as POSCAR:
```
Sc2NbGaBr
1.0
4.838 0.000 0.000
0.000 4.838 0.000
0.000 0.000 5.092
Sc Nb Ga Br
2 1 1 1
direct
0.000 0.500 0.000
0.500 0.000 0.000
0.000 0.000 0.500
0.500 0.500 0.500
0.500 0.500 0.000
```

No. 7
Compound: Np2PaTc
Source: the Alexandria database
Functional: PBE
Structure: relaxed

Calculated values
SG: No. 123
DFT total energy, eV/atom: -11.238
Crystal system: tetragonal
Energy of formation from the pure elements, eV per atom: 0.198

Cell and atoms, written as POSCAR:
```
Np2PaTc
1.0
3.390 0.000 0.000
0.000 3.390 0.000
0.000 0.000 7.162
Np Pa Tc
2 1 1
direct
0.000 0.000 0.227
0.000 0.000 0.773
0.500 0.500 0.500
0.500 0.500 0.000
```

No. 8
Compound: CsTlCdPb
Source: the Alexandria database
Functional: PBE
Structure: relaxed

Calculated values
SG: No. 216
DFT total energy, eV/atom: -1.925
Crystal system: cubic
Energy of formation from the pure elements, eV per atom: 0.036

Cell and atoms, written as POSCAR:
```
CsTlCdPb
1.0
8.264 0.000 0.000
0.000 8.264 0.000
0.000 0.000 8.264
Cs Tl Cd Pb
4 4 4 4
direct
0.000 0.000 0.000
0.000 0.500 0.500
0.500 0.000 0.500
0.500 0.500 0.000
0.250 0.250 0.250
0.250 0.750 0.750
0.750 0.250 0.750
0.750 0.750 0.250
0.250 0.250 0.750
0.250 0.750 0.250
0.750 0.250 0.250
0.750 0.750 0.750
0.000 0.000 0.500
0.000 0.500 0.000
0.500 0.000 0.000
0.500 0.500 0.500
```

No. 9
Compound: SmY2HoS6
Source: the Alexandria database
Functional: PBE
Structure: relaxed

Calculated values
SG: No. 146
DFT total energy, eV/atom: -6.754
Crystal system: trigonal
Raw formation energy, eV/atom: -2.055

Cell and atoms, written as POSCAR:
```
SmY2HoS6
1.0
3.477 2.007 6.194
-3.477 2.007 6.194
0.000 -4.015 6.194
Sm Y Ho S
1 2 1 6
direct
0.000 0.000 0.000
0.295 0.295 0.295
0.797 0.797 0.797
0.497 0.497 0.497
0.095 0.688 0.406
0.200 0.593 0.895
0.406 0.095 0.688
0.593 0.895 0.200
0.688 0.406 0.095
0.895 0.200 0.593
```

No. 10
Compound: CoIr4Ru3
Source: the Alexandria database
Functional: PBE
Structure: relaxed

Calculated values
SG: No. 12
DFT total energy, eV/atom: -8.638
Crystal system: monoclinic
Energy of formation from the pure elements, eV per atom: 0.160

Cell and atoms, written as POSCAR:
```
CoIr4Ru3
1.0
18.712 0.000 0.000
0.000 2.723 0.000
-0.185 0.000 4.464
Co Ir Ru
2 8 6
direct
0.000 0.000 0.000
0.500 0.500 0.000
0.111 0.000 0.719
0.139 0.500 0.224
0.361 0.000 0.776
0.389 0.500 0.281
0.611 0.500 0.719
0.639 0.000 0.224
0.861 0.500 0.776
0.889 0.000 0.281
0.000 0.500 0.500
0.233 0.500 0.748
0.267 0.000 0.252
0.500 0.000 0.500
0.733 0.000 0.748
0.767 0.500 0.252
```

No. 11
Compound: RbHg2I
Source: the Alexandria database
Functional: PBE
Structure: relaxed

Calculated values
SG: No. 123
DFT total energy, eV/atom: -1.443
Crystal system: tetragonal
Raw formation energy, eV/atom: -0.663

Cell and atoms, written as POSCAR:
```
RbHg2I
1.0
5.099 0.000 0.000
0.000 5.099 0.000
0.000 0.000 6.643
Rb Hg I
1 2 1
direct
0.000 0.000 0.000
0.000 0.500 0.500
0.500 0.000 0.500
0.500 0.500 0.000
```

No. 12
Compound: RhAuS2
Source: the Alexandria database
Functional: PBE
Structure: relaxed

Calculated values
SG: No. 62
DFT total energy, eV/atom: -4.739
Crystal system: orthorhombic
Raw formation energy, eV/atom: -0.018

Cell and atoms, written as POSCAR:
```
RhAuS2
1.0
5.627 0.000 0.000
0.000 3.685 0.000
0.000 0.000 13.534
Rh Au S
4 4 8
direct
0.041 0.250 0.113
0.459 0.750 0.613
0.541 0.250 0.387
0.959 0.750 0.887
0.188 0.750 0.346
0.312 0.250 0.846
0.688 0.750 0.154
0.812 0.250 0.654
0.081 0.750 0.704
0.206 0.750 0.029
0.294 0.250 0.529
0.419 0.250 0.204
0.581 0.750 0.796
0.706 0.750 0.471
0.794 0.250 0.971
0.919 0.250 0.296
```

No. 13
Compound: Ac3Sm3Tl2In
Source: the Alexandria database
Functional: PBE
Structure: relaxed

Calculated values
SG: No. 189
DFT total energy, eV/atom: -3.978
Crystal system: hexagonal
Energy of formation from the pure elements, eV per atom: -0.205

Cell and atoms, written as POSCAR:
```
Ac3Sm3Tl2In
1.0
9.538 0.000 0.000
-4.769 8.260 0.000
0.000 0.000 3.946
Ac Sm Tl In
3 3 2 1
direct
0.000 0.714 0.000
0.286 0.286 0.000
0.714 0.000 0.000
0.000 0.387 0.500
0.387 0.000 0.500
0.613 0.613 0.500
0.333 0.667 0.000
0.667 0.333 0.000
0.000 0.000 0.500
```

No. 14
Compound: LiTl2Pb2
Source: the Alexandria database
Functional: PBE
Structure: relaxed

Calculated values
SG: No. 139
DFT total energy, eV/atom: -2.708
Crystal system: tetragonal
Energy of formation from the pure elements, eV per atom: 0.105

Cell and atoms, written as POSCAR:
```
LiTl2Pb2
1.0
4.505 0.000 0.000
0.000 4.505 0.000
0.000 0.000 15.951
Li Tl Pb
2 4 4
direct
0.000 0.000 0.000
0.500 0.500 0.500
0.000 0.500 0.250
0.000 0.500 0.750
0.500 0.000 0.250
0.500 0.000 0.750
0.000 0.000 0.403
0.000 0.000 0.597
0.500 0.500 0.097
0.500 0.500 0.903
```

No. 15
Compound: PmPr4Tm7
Source: the Alexandria database
Functional: PBE
Structure: relaxed

Calculated values
SG: No. 2
DFT total energy, eV/atom: -4.573
Crystal system: triclinic
Energy of formation from the pure elements, eV per atom: 0.024

Cell and atoms, written as POSCAR:
```
PmPr4Tm7
1.0
7.139 0.000 0.000
1.719 7.792 0.000
3.548 1.630 6.966
Pm Pr Tm
1 4 7
direct
0.000 0.000 0.000
0.165 0.669 0.336
0.417 0.668 0.830
0.583 0.332 0.170
0.835 0.331 0.664
0.084 0.332 0.165
0.251 0.001 0.498
0.333 0.331 0.669
0.500 0.000 0.000
0.667 0.669 0.331
0.749 0.999 0.502
0.916 0.668 0.835
```

No. 16
Compound: Ti5Sb2O
Source: the Alexandria database
Functional: PBE
Structure: relaxed

Calculated values
SG: No. 63
DFT total energy, eV/atom: -7.165
Crystal system: orthorhombic
Raw formation energy, eV/atom: -0.580

Cell and atoms, written as POSCAR:
```
Ti5Sb2O
1.0
1.526 -8.007 0.000
1.526 8.007 0.000
0.000 0.000 12.468
Ti Sb O
10 4 2
direct
0.123 0.877 0.619
0.123 0.877 0.881
0.222 0.778 0.250
0.312 0.688 0.545
0.312 0.688 0.955
0.688 0.312 0.045
0.688 0.312 0.455
0.778 0.222 0.750
0.877 0.123 0.119
0.877 0.123 0.381
0.054 0.946 0.117
0.054 0.946 0.383
0.946 0.054 0.617
0.946 0.054 0.883
0.188 0.812 0.750
0.812 0.188 0.250
```

No. 17
Compound: Sc3Tl
Source: the Alexandria database
Functional: PBE
Structure: relaxed

Calculated values
SG: No. 123
DFT total energy, eV/atom: -5.479
Crystal system: tetragonal
Energy of formation from the pure elements, eV per atom: -0.139

Cell and atoms, written as POSCAR:
```
Sc3Tl
1.0
3.402 0.000 0.000
0.000 3.402 0.000
0.000 0.000 8.312
Sc Tl
3 1
direct
0.000 0.000 0.000
0.500 0.500 0.259
0.500 0.500 0.741
0.000 0.000 0.500
```

No. 18
Compound: Hf2MgCu
Source: the Alexandria database
Functional: PBE
Structure: relaxed

Calculated values
SG: No. 122
DFT total energy, eV/atom: -6.031
Crystal system: tetragonal
Energy of formation from the pure elements, eV per atom: 0.369

Cell and atoms, written as POSCAR:
```
Hf2MgCu
1.0
7.696 0.000 0.000
0.000 7.696 0.000
0.000 0.000 5.578
Hf Mg Cu
8 4 4
direct
0.199 0.750 0.125
0.250 0.199 0.875
0.250 0.301 0.375
0.301 0.750 0.625
0.699 0.250 0.625
0.750 0.699 0.375
0.750 0.801 0.875
0.801 0.250 0.125
0.000 0.000 0.500
0.000 0.500 0.750
0.500 0.000 0.250
0.500 0.500 0.000
0.000 0.000 0.000
0.000 0.500 0.250
0.500 0.000 0.750
0.500 0.500 0.500
```

No. 19
Compound: LaNd3HoEr
Source: the Alexandria database
Functional: PBE
Structure: relaxed

Calculated values
SG: No. 12
DFT total energy, eV/atom: -4.541
Crystal system: monoclinic
Energy of formation from the pure elements, eV per atom: 0.188

Cell and atoms, written as POSCAR:
```
LaNd3HoEr
1.0
10.338 -2.918 0.000
10.338 2.918 0.000
-0.171 0.000 6.852
La Nd Ho Er
2 6 2 2
direct
0.146 0.146 0.023
0.854 0.854 0.977
0.018 0.018 0.747
0.280 0.280 0.732
0.341 0.341 0.255
0.659 0.659 0.745
0.720 0.720 0.268
0.982 0.982 0.253
0.442 0.442 0.729
0.558 0.558 0.271
0.142 0.142 0.475
0.858 0.858 0.525
```

No. 20
Compound: LiHPt2Au
Source: the Alexandria database
Functional: PBE
Structure: relaxed

Calculated values
SG: No. 123
DFT total energy, eV/atom: -4.321
Crystal system: tetragonal

Cell and atoms, written as POSCAR:
```
LiHPt2Au
1.0
3.934 0.000 0.000
0.000 3.934 0.000
0.000 0.000 4.253
Li H Pt Au
1 1 2 1
direct
0.000 0.000 0.000
0.500 0.500 0.500
0.000 0.500 0.500
0.500 0.000 0.500
0.500 0.500 0.000
```

No. 21
Compound: Ca5Cd2
Source: the Alexandria database
Functional: PBE
Structure: relaxed

Calculated values
SG: No. 15
DFT total energy, eV/atom: -1.883
Crystal system: monoclinic
Energy of formation from the pure elements, eV per atom: -0.191

Cell and atoms, written as POSCAR:
```
Ca5Cd2
1.0
8.385 -3.244 0.000
8.385 3.244 0.000
-1.308 0.000 9.035
Ca Cd
10 4
direct
0.114 0.330 0.323
0.153 0.847 0.750
0.252 0.558 0.075
0.330 0.114 0.823
0.442 0.748 0.425
0.558 0.252 0.575
0.670 0.886 0.177
0.748 0.442 0.925
0.847 0.153 0.250
0.886 0.670 0.677
0.076 0.721 0.422
0.279 0.924 0.078
0.721 0.076 0.922
0.924 0.279 0.578
```